A relaxed LaNpB crystal, computed with GGA-PBE.

Cell lengths 4.5387, 4.5387, 4.5387 Å; angles 60.00, 60.00, 60.00 degrees
Last column: nearest neighbours and their distance in Å.
Fractional coordinates of all 3 atoms:
La 0.0000 0.0000 0.0000  4 B 2.78, 4 Np 2.78
Np 0.2500 0.2500 0.2500  4 La 2.78
B 0.7500 0.7500 0.7500  4 La 2.78

Calculated values
Polymorph energy (0 for the lowest one): 712 meV/atom
Symmetry: No. 216
Theoretical density: 9.71 Mg/m³

A relaxed LaNpB crystal, computed with GGA-PBE.

Cell lengths 4.5229, 4.5229, 4.5229 Å; angles 60.00, 60.00, 60.00 degrees
Last column: nearest neighbours and their distance in Å.
Fractional coordinates of all 3 atoms:
La 0.0000 0.0000 0.0000  4 B 2.77
Np 0.5000 0.5000 0.5000  4 B 2.77
B 0.2500 0.2500 0.2500  4 La 2.77, 4 Np 2.77

Calculated values
Polymorph energy (0 for the lowest one): 0 meV/atom
Symmetry: No. 216
Theoretical density: 9.82 Mg/m³

A relaxed LaB4Os crystal, computed with GGA-PBE.

Cell lengths 3.2146, 3.2146, 7.2733 Å; angles 90.00, 90.00, 120.00 degrees
Last column: nearest neighbours and their distance in Å.
Fractional coordinates of all 6 atoms:
La 0.0000 0.0000 0.0000  12 B 2.84
B 0.3333 0.6667 0.2958  3 B 1.86
B 0.3333 0.6667 0.7042  3 B 1.86
B 0.6667 0.3333 0.2958  3 B 1.86
B 0.6667 0.3333 0.7042  3 B 1.86
Os 0.0000 0.0000 0.5000  12 B 2.38

Calculated values
Polymorph energy (0 for the lowest one): 0 meV/atom
Symmetry: No. 191
Theoretical density: 9.50 Mg/m³

A relaxed LaBOs crystal, computed with GGA-PBE.

Cell lengths 4.5170, 4.5170, 4.5170 Å; angles 60.00, 60.00, 60.00 degrees
Last column: nearest neighbours and their distance in Å.
Fractional coordinates of all 3 atoms:
La 0.0000 0.0000 0.0000  4 Os 2.77, 4 B 2.77
B 0.7500 0.7500 0.7500  4 La 2.77
Os 0.2500 0.2500 0.2500  4 La 2.77

Calculated values
Polymorph energy (0 for the lowest one): 1738 meV/atom
Symmetry: No. 216
Theoretical density: 8.66 Mg/m³

A relaxed LaB4Os crystal, computed with GGA-PBE.

Cell lengths 5.0433, 5.0433, 5.0433 Å; angles 143.87, 115.05, 76.63 degrees
Last column: nearest neighbours and their distance in Å.
Fractional coordinates of all 6 atoms:
La 0.0000 0.0000 0.0000  12 B 2.67-2.70
B 0.0902 0.7540 0.3361  3 B 1.77-1.82
B 0.4179 0.7540 0.6639  3 B 1.77-1.82
B 0.5821 0.2460 0.3361  3 B 1.77-1.82
B 0.9098 0.2460 0.6639  3 B 1.77-1.82
Os 0.5000 0.5000 0.0000  12 B 2.65-2.71

Calculated values
Polymorph energy (0 for the lowest one): 193 meV/atom
Symmetry: No. 71
Theoretical density: 9.23 Mg/m³

A relaxed LaBOs crystal, computed with GGA-PBE.

Cell lengths 3.0308, 3.0308, 5.5438 Å; angles 90.00, 90.00, 90.00 degrees
Last column: nearest neighbours and their distance in Å.
Fractional coordinates of all 3 atoms:
La 0.0000 0.0000 0.0000  2 B 2.77, 4 La 3.03
B 0.0000 0.0000 0.5000  4 Os 2.14
Os 0.5000 0.5000 0.5000  4 B 2.14

Calculated values
Polymorph energy (0 for the lowest one): 0 meV/atom
Symmetry: No. 123
Theoretical density: 11.08 Mg/m³

A relaxed LaPrB4Os4 crystal, computed with GGA-PBE.

Cell lengths 6.8479, 6.0538, 5.6610 Å; angles 71.45, 56.94, 51.60 degrees
Last column: nearest neighbours and their distance in Å.
Fractional coordinates of all 10 atoms:
La 0.0000 0.0000 0.0000  6 B 2.92-3.09, 4 Os 3.06
Pr 0.2500 0.2500 0.2500  6 B 2.91-3.09, 4 Os 3.06
B 0.3174 0.6826 0.3174  4 Os 2.11-2.18
B 0.5667 0.9333 0.5667  4 Os 2.10-2.18
B 0.6826 0.3174 0.6826  4 Os 2.11-2.18
B 0.9333 0.5667 0.9333  4 Os 2.10-2.18
Os 0.3633 0.3633 0.6367  4 B 2.10-2.18
Os 0.6134 0.6134 0.8866  4 B 2.11-2.18
Os 0.6367 0.6367 0.3633  4 B 2.10-2.18
Os 0.8866 0.8866 0.6134  4 B 2.11-2.18

Calculated values
Total DFT energy (no corrections): -85.7 eV per formula unit
Symmetry: No. 22
Theoretical density: 11.68 Mg/m³

A relaxed LaSmB4Os4 crystal, computed with GGA-PBE.

Cell lengths 6.8076, 6.0336, 5.6409 Å; angles 71.25, 57.06, 51.69 degrees
Last column: nearest neighbours and their distance in Å.
Fractional coordinates of all 10 atoms:
La 0.0000 0.0000 0.0000  6 B 2.89-3.07, 4 Os 3.04
Sm 0.2500 0.2500 0.2500  6 B 2.87-3.08, 4 Os 3.04
B 0.3166 0.6834 0.3166  4 Os 2.10-2.17
B 0.5641 0.9359 0.5641  4 Os 2.09-2.19
B 0.6834 0.3166 0.6834  4 Os 2.10-2.17
B 0.9359 0.5641 0.9359  4 Os 2.09-2.19
Os 0.3630 0.3630 0.6370  4 B 2.09-2.17
Os 0.6135 0.6135 0.8865  4 B 2.10-2.19
Os 0.6370 0.6370 0.3630  4 B 2.09-2.17
Os 0.8865 0.8865 0.6135  4 B 2.10-2.19

Calculated values
Total DFT energy (no corrections): -85.8 eV per formula unit
Symmetry: No. 22
Theoretical density: 11.90 Mg/m³

A relaxed LaBPd3 crystal, computed with GGA-PBE.

Cell lengths 4.0874, 4.0874, 5.0553 Å; angles 90.00, 90.00, 90.00 degrees
Last column: nearest neighbours and their distance in Å.
Fractional coordinates of all 5 atoms:
La 0.0000 0.0000 0.0000  12 Pd 2.95-3.30, 4 B 3.30
B 0.5000 0.5000 0.6860  5 Pd 2.17-2.22
Pd 0.0000 0.5000 0.5125  2 B 2.22
Pd 0.5000 0.0000 0.5125  2 B 2.22
Pd 0.5000 0.5000 0.1148  1 B 2.17

Calculated values
Total DFT energy (no corrections): -30.5 eV per formula unit
Symmetry: No. 99
Theoretical density: 9.22 Mg/m³

A relaxed LaB4Pd crystal, computed with GGA-PBE.

Cell lengths 5.2591, 5.2591, 5.2591 Å; angles 145.11, 118.80, 72.43 degrees
Last column: nearest neighbours and their distance in Å.
Fractional coordinates of all 6 atoms:
La 0.0000 0.0000 0.0000  12 B 2.78, 4 Pd 3.11
B 0.0729 0.7461 0.3268  3 B 1.78-1.85
B 0.4193 0.7461 0.6732  3 B 1.78-1.85
B 0.5807 0.2539 0.3268  3 B 1.78-1.85
B 0.9271 0.2539 0.6732  3 B 1.78-1.85
Pd 0.5000 0.5000 0.0000  12 B 2.72-2.83

Calculated values
Polymorph energy (0 for the lowest one): 31 meV/atom
Symmetry: No. 71
Theoretical density: 6.69 Mg/m³

A relaxed LaB4Pd crystal, computed with GGA-PBE.

Cell lengths 3.2049, 3.2049, 7.4975 Å; angles 90.00, 90.00, 120.00 degrees
Last column: nearest neighbours and their distance in Å.
Fractional coordinates of all 6 atoms:
La 0.0000 0.0000 0.0000  12 B 2.82
B 0.3333 0.6667 0.2846  3 B 1.85
B 0.3333 0.6667 0.7154  3 B 1.85
B 0.6667 0.3333 0.2846  3 B 1.85
B 0.6667 0.3333 0.7154  3 B 1.85
Pd 0.0000 0.0000 0.5000  12 B 2.46

Calculated values
Polymorph energy (0 for the lowest one): 0 meV/atom
Symmetry: No. 191
Theoretical density: 7.19 Mg/m³

A relaxed LaPrB2Pd8 crystal, computed with GGA-PBE.

Cell lengths 5.5122, 5.5122, 7.6733 Å; angles 90.00, 90.00, 120.00 degrees
Last column: nearest neighbours and their distance in Å.
Fractional coordinates of all 12 atoms:
La 0.0000 0.0000 0.0000  12 Pd 3.14, 6 B 3.18
Pr 0.0000 0.0000 0.5000  6 Pd 3.18
B 0.3333 0.6667 0.0000  6 Pd 2.19
B 0.6667 0.3333 0.0000  6 Pd 2.19
Pd 0.0000 0.5000 0.1962  2 B 2.19
Pd 0.0000 0.5000 0.8038  2 B 2.19
Pd 0.3333 0.6667 0.5000  6 Pd 2.82
Pd 0.5000 0.0000 0.1962  2 B 2.19
Pd 0.5000 0.0000 0.8038  2 B 2.19
Pd 0.5000 0.5000 0.1962  2 B 2.19
Pd 0.5000 0.5000 0.8038  2 B 2.19
Pd 0.6667 0.3333 0.5000  6 Pd 2.82

Calculated values
Polymorph energy (0 for the lowest one): 9 meV/atom
Symmetry: No. 191
Theoretical density: 9.48 Mg/m³

A relaxed LaPrB2Pd8 crystal, computed with GGA-PBE.

Cell lengths 5.5096, 5.5096, 7.6727 Å; angles 90.00, 90.00, 120.00 degrees
Last column: nearest neighbours and their distance in Å.
Fractional coordinates of all 12 atoms:
La 0.0000 0.0000 0.0000  6 Pd 3.18
Pr 0.0000 0.0000 0.5000  12 Pd 3.14, 6 B 3.18
B 0.3333 0.6667 0.5000  6 Pd 2.19
B 0.6667 0.3333 0.5000  6 Pd 2.19
Pd 0.0000 0.5000 0.3041  2 B 2.19
Pd 0.0000 0.5000 0.6959  2 B 2.19
Pd 0.3333 0.6667 0.0000  6 Pd 2.82
Pd 0.5000 0.0000 0.3041  2 B 2.19
Pd 0.5000 0.0000 0.6959  2 B 2.19
Pd 0.5000 0.5000 0.3041  2 B 2.19
Pd 0.5000 0.5000 0.6959  2 B 2.19
Pd 0.6667 0.3333 0.0000  6 Pd 2.82

Calculated values
Polymorph energy (0 for the lowest one): 0 meV/atom
Symmetry: No. 191
Theoretical density: 9.49 Mg/m³